[1]
Ho2AlCd: PBEsol geometry, meta-GGA SCAN.

```
Ho2AlCd
1.0
0.0000 3.6033 3.6033
3.6033 0.0000 3.6033
3.6033 3.6033 0.0000
Ho Al Cd
2 1 1
Cartesian
1.8017 1.8017 1.8017
5.4050 5.4050 5.4050
0.0000 0.0000 0.0000
3.6033 3.6033 3.6033
```

Values from the calculation:
Uncorrected energy: -34.4453 eV per atom
Crystal system: cubic

=====

[2]
AsPRh2: PBEsol geometry, meta-GGA SCAN.

```
AsPRh2
1.0
3.0033 -3.0143 0.0000
3.0033 3.0143 0.0000
0.0000 0.0000 3.0319
As P Rh
1 1 2
Cartesian
0.0000 0.0000 0.0000
3.0033 0.0000 0.0000
1.5017 1.5071 1.5159
1.5017 -1.5071 1.5159
```

Values from the calculation:
Energy above the most stable polymorph in this dataset: 322 meV per atom
Uncorrected energy: -24.6731 eV per atom
Crystal system: orthorhombic

=====

[3]
La4MgRh: PBEsol geometry, meta-GGA SCAN.

```
La4MgRh
1.0
0.0000 7.0744 7.0744
7.0744 0.0000 7.0744
7.0744 7.0744 0.0000
La Mg Rh
16 4 4
Cartesian
3.5372 3.5372 0.8684
3.5372 0.8684 3.5372
6.2060 3.5372 3.5372
7.0744 7.0744 2.6766
7.0744 2.6766 7.0744
11.4722 7.0744 7.0744
8.4315 5.7173 5.7173
0.8684 3.5372 3.5372
3.5372 6.2060 3.5372
3.5372 3.5372 6.2060
5.7173 8.4315 5.7173
5.7173 5.7173 8.4315
8.4315 8.4315 8.4315
2.6766 7.0744 7.0744
7.0744 11.4722 7.0744
7.0744 7.0744 11.4722
11.7283 9.4950 9.4950
9.4950 11.7283 9.4950
9.4950 9.4950 11.7283
11.7283 11.7283 11.7283
5.5395 5.5395 5.5395
8.6094 8.6094 5.5395
8.6094 5.5395 8.6094
5.5395 8.6094 8.6094
```

Values from the calculation:
Uncorrected energy: -35.6129 eV per atom
Crystal system: cubic

=====

Computed energy of formation, in the same sequence as the records: -1.6 -0.6 -2.5 eV/f.u..
Computed total magnetization, in the same sequence as the records: 0.00 0.00 0.00 μB per atom.